Na2Hg2Au15: optimized geometry, PBE.

Computed properties:
Formation energy from the elements: -10 kJ per mole of atoms
Uncorrected energy: -0.21047 Ry per atom

```
data_Na2Hg2Au15
_symmetry_space_group_name_H-M 'R -3 m'
_symmetry_Int_Tables_number 166
_symmetry_space_group_name_Hall '-R 3 2"'
_cell_length_a 9.8681
_cell_length_b 9.8681
_cell_length_c 13.9681
_cell_angle_alpha 90.00
_cell_angle_beta 90.00
_cell_angle_gamma 120.00
loop_
_atom_site_label
_atom_site_fract_x
_atom_site_fract_y
_atom_site_fract_z
_atom_site_occupancy
Na1 0.0000 0.0000 0.1438 1
Hg1 0.0000 0.0000 0.3948 1
Au1 0.0000 0.3347 0.5000 1
Au2 0.0000 0.5000 0.0000 1
Au3 0.0066 0.5033 0.6664 1
```



TlZnGa: optimized geometry, PBE.

Computed properties:
Formation energy from the elements: 14 kJ per mole of atoms
Uncorrected energy: -0.15239 Ry per atom

```
data_TlZnGa
_symmetry_space_group_name_H-M 'A m m 2'
_symmetry_Int_Tables_number 38
_symmetry_space_group_name_Hall 'A 2 -2'
_cell_length_a 14.0583
_cell_length_b 3.3257
_cell_length_c 5.7703
_cell_angle_alpha 90.00
_cell_angle_beta 90.00
_cell_angle_gamma 90.00
loop_
_atom_site_label
_atom_site_fract_x
_atom_site_fract_y
_atom_site_fract_z
_atom_site_occupancy
Tl1 0.1882 0.0000 0.0000 1
Zn1 0.3617 0.0000 0.3375 1
Ga1 0.0000 0.0000 0.3268 1
Ga2 0.5000 0.0000 0.0045 1
```



BaNdAs2Pd2: optimized geometry, PBE.

Computed properties:
Formation energy from the elements: -104 kJ per mole of atoms
Uncorrected energy: -0.40251 Ry per atom

```
data_BaNdAs2Pd2
_symmetry_space_group_name_H-M 'P -3 m 1'
_symmetry_Int_Tables_number 164
_symmetry_space_group_name_Hall '-P 3 2"'
_cell_length_a 4.3869
_cell_length_b 4.3869
_cell_length_c 8.7258
_cell_angle_alpha 90.00
_cell_angle_beta 90.00
_cell_angle_gamma 120.00
loop_
_atom_site_label
_atom_site_fract_x
_atom_site_fract_y
_atom_site_fract_z
_atom_site_occupancy
Ba1 0.0000 0.0000 0.0000 1
Nd1 0.0000 0.0000 0.5000 1
As1 0.3333 0.6667 0.2769 1
Pd1 0.3333 0.6667 0.7250 1
```



Dy2NbGe3Pt4: optimized geometry, PBE.

Computed properties:
Formation energy from the elements: -82 kJ per mole of atoms
Uncorrected energy: -0.48374 Ry per atom

```
data_Dy2NbGe3Pt4
_symmetry_space_group_name_H-M 'P -4 m 2'
_symmetry_Int_Tables_number 115
_symmetry_space_group_name_Hall 'P -4 -2'
_cell_length_a 4.1754
_cell_length_b 4.1754
_cell_length_c 10.9301
_cell_angle_alpha 90.00
_cell_angle_beta 90.00
_cell_angle_gamma 90.00
loop_
_atom_site_label
_atom_site_fract_x
_atom_site_fract_y
_atom_site_fract_z
_atom_site_occupancy
Dy1 0.0000 0.5000 0.2324 1
Nb1 0.0000 0.0000 0.5000 1
Ge1 0.0000 0.5000 0.8630 1
Ge2 0.5000 0.5000 0.5000 1
Pt1 0.0000 0.0000 0.0000 1
Pt2 0.0000 0.5000 0.6415 1
Pt3 0.5000 0.5000 0.0000 1
```



NdTmIn6: optimized geometry, PBE.

Computed properties:
Formation energy from the elements: -40 kJ per mole of atoms
Uncorrected energy: -0.26659 Ry per atom

```
data_NdTmIn6
_symmetry_space_group_name_H-M 'P 4/m m m'
_symmetry_Int_Tables_number 123
_symmetry_space_group_name_Hall '-P 4 2'
_cell_length_a 4.6663
_cell_length_b 4.6663
_cell_length_c 9.3228
_cell_angle_alpha 90.00
_cell_angle_beta 90.00
_cell_angle_gamma 90.00
loop_
_atom_site_label
_atom_site_fract_x
_atom_site_fract_y
_atom_site_fract_z
_atom_site_occupancy
Nd1 0.0000 0.0000 0.0000 1
Tm1 0.0000 0.0000 0.5000 1
In1 0.0000 0.5000 0.2560 1
In2 0.5000 0.5000 0.0000 1
In3 0.5000 0.5000 0.5000 1
```



Cs2RbPdO4: optimized geometry, PBE.

Computed properties:
Uncorrected energy: -0.30168 Ry per atom
Formation energy without anion corrections: -642 meV per atom

```
data_Cs2RbPdO4
_symmetry_space_group_name_H-M 'F d d d'
_symmetry_Int_Tables_number 70
_cell_length_a 6.5704
_cell_length_b 12.9429
_cell_length_c 25.6302
_cell_angle_alpha 90.00
_cell_angle_beta 90.00
_cell_angle_gamma 90.00
loop_
_symmetry_equiv_pos_as_xyz
'x,y,z'
'-x,-y,-z'
'-x+1/4,-y+1/4,z'
'x+1/4,y+1/4,-z'
'x,-y+1/4,-z+1/4'
'-x,y+1/4,z+1/4'
'-x+1/4,y,-z+1/4'
'x+1/4,-y,z+1/4'
'x,y+1/2,z+1/2'
'-x,-y+1/2,-z+1/2'
'-x+1/4,-y+3/4,z+1/2'
'x+1/4,y+3/4,-z+1/2'
'x,-y+3/4,-z+3/4'
'-x,y+3/4,z+3/4'
'-x+1/4,y+1/2,-z+3/4'
'x+1/4,-y+1/2,z+3/4'
'x+1/2,y,z+1/2'
'-x+1/2,-y,-z+1/2'
'-x+3/4,-y+1/4,z+1/2'
'x+3/4,y+1/4,-z+1/2'
'x+1/2,-y+1/4,-z+3/4'
'-x+1/2,y+1/4,z+3/4'
'-x+3/4,y,-z+3/4'
'x+3/4,-y,z+3/4'
'x+1/2,y+1/2,z'
'-x+1/2,-y+1/2,-z'
'-x+3/4,-y+3/4,z'
'x+3/4,y+3/4,-z'
'x+1/2,-y+3/4,-z+1/4'
'-x+1/2,y+3/4,z+1/4'
'-x+3/4,y+1/2,-z+1/4'
'x+3/4,-y+1/2,z+1/4'
loop_
_atom_site_label
_atom_site_fract_x
_atom_site_fract_y
_atom_site_fract_z
_atom_site_occupancy
Cs1 0.1250 0.1250 0.3215 1
Rb1 0.1250 0.1250 0.1250 1
Pd1 0.1250 0.1250 0.6250 1
O1 0.0383 0.2700 0.8429 1
```



YLuAlPd: optimized geometry, PBE.

Computed properties:
Formation energy from the elements: -58 kJ per mole of atoms
Uncorrected energy: -0.41043 Ry per atom

```
data_YLuAlPd
_symmetry_space_group_name_H-M 'F -4 3 m'
_symmetry_Int_Tables_number 216
_symmetry_space_group_name_Hall 'F -4 2 3'
_cell_length_a 7.0852
_cell_length_b 7.0852
_cell_length_c 7.0852
_cell_angle_alpha 90.00
_cell_angle_beta 90.00
_cell_angle_gamma 90.00
loop_
_atom_site_label
_atom_site_fract_x
_atom_site_fract_y
_atom_site_fract_z
_atom_site_occupancy
Y1 0.0000 0.0000 0.0000 1
Lu1 0.0000 0.0000 0.5000 1
Al1 0.2500 0.2500 0.2500 1
Pd1 0.2500 0.2500 0.7500 1
```



Li2TiNbN4: optimized geometry, PBE.

Computed properties:
Uncorrected energy: -0.56909 Ry per atom
Formation energy without anion corrections: -856 meV per atom

```
data_Li2TiNbN4
_symmetry_space_group_name_H-M 'I m m a'
_symmetry_Int_Tables_number 74
_symmetry_space_group_name_Hall '-I 2b 2'
_cell_length_a 6.0826
_cell_length_b 6.1994
_cell_length_c 8.6594
_cell_angle_alpha 90.00
_cell_angle_beta 90.00
_cell_angle_gamma 90.00
loop_
_atom_site_label
_atom_site_fract_x
_atom_site_fract_y
_atom_site_fract_z
_atom_site_occupancy
Li1 0.0000 0.0000 0.0000 1
Li2 0.2500 0.2500 0.2500 1
Ti1 0.2500 0.2500 0.7500 1
Nb1 0.0000 0.0000 0.5000 1
N1 0.0000 0.0236 0.7412 1
N2 0.2348 0.2500 0.5095 1
```



HfReNi3: optimized geometry, PBE.

Computed properties:
Formation energy from the elements: 91 kJ per mole of atoms
Uncorrected energy: -0.51467 Ry per atom
E above lowest polymorph: 0.0 meV per atom

```
data_HfReNi3
_symmetry_space_group_name_H-M 'P m -3 m'
_symmetry_Int_Tables_number 221
_symmetry_space_group_name_Hall '-P 4 2 3'
_cell_length_a 4.4462
_cell_length_b 4.4462
_cell_length_c 4.4462
_cell_angle_alpha 90.00
_cell_angle_beta 90.00
_cell_angle_gamma 90.00
loop_
_atom_site_label
_atom_site_fract_x
_atom_site_fract_y
_atom_site_fract_z
_atom_site_occupancy
Hf1 0.0000 0.0000 0.0000 1
Re1 0.5000 0.5000 0.5000 1
Ni1 0.0000 0.5000 0.5000 1
```



ScPtPb2: optimized geometry, PBE.

Computed properties:
Formation energy from the elements: -29 kJ per mole of atoms
Uncorrected energy: -0.38559 Ry per atom
E above lowest polymorph: 198.0 meV per atom

```
data_ScPtPb2
_symmetry_space_group_name_H-M 'I -4 m 2'
_symmetry_Int_Tables_number 119
_symmetry_space_group_name_Hall 'I -4 -2'
_cell_length_a 4.3224
_cell_length_b 4.3224
_cell_length_c 9.5938
_cell_angle_alpha 90.00
_cell_angle_beta 90.00
_cell_angle_gamma 90.00
loop_
_atom_site_label
_atom_site_fract_x
_atom_site_fract_y
_atom_site_fract_z
_atom_site_occupancy
Sc1 0.0000 0.0000 0.0000 1
Pt1 0.0000 0.5000 0.2500 1
Pb1 0.0000 0.0000 0.5000 1
Pb2 0.0000 0.5000 0.7500 1
```



BiB3Ru: optimized geometry, PBE.

Computed properties:
Formation energy from the elements: 293 kJ per mole of atoms
Uncorrected energy: -0.26470 Ry per atom
E above lowest polymorph: 1870.7 meV per atom

```
data_BiB3Ru
_symmetry_space_group_name_H-M 'P m -3 m'
_symmetry_Int_Tables_number 221
_symmetry_space_group_name_Hall '-P 4 2 3'
_cell_length_a 4.5892
_cell_length_b 4.5892
_cell_length_c 4.5892
_cell_angle_alpha 90.00
_cell_angle_beta 90.00
_cell_angle_gamma 90.00
loop_
_atom_site_label
_atom_site_fract_x
_atom_site_fract_y
_atom_site_fract_z
_atom_site_occupancy
Bi1 0.0000 0.0000 0.0000 1
B1 0.0000 0.0000 0.5000 1
Ru1 0.5000 0.5000 0.5000 1
```



In2H6IrRh: optimized geometry, PBE.

Computed properties:
Uncorrected energy: -0.31168 Ry per atom

```
data_In2H6IrRh
_symmetry_space_group_name_H-M 'A m m 2'
_symmetry_Int_Tables_number 38
_symmetry_space_group_name_Hall 'A 2 -2'
_cell_length_a 4.8250
_cell_length_b 4.8172
_cell_length_c 8.6150
_cell_angle_alpha 90.00
_cell_angle_beta 90.00
_cell_angle_gamma 90.00
loop_
_atom_site_label
_atom_site_fract_x
_atom_site_fract_y
_atom_site_fract_z
_atom_site_occupancy
In1 0.0000 0.0000 0.0000 1
In2 0.5000 0.0000 0.4933 1
H1 0.0000 0.0000 0.4884 1
H2 0.2445 0.2430 0.7526 1
H3 0.5000 0.0000 0.9844 1
Ir1 0.0000 0.0000 0.6836 1
Rh1 0.5000 0.0000 0.1779 1
```